[1]
Here is a relaxed NaLiPdO2 crystal from the Open Quantum Materials Database. Energies are from PBE.

Cell lengths 3.0511, 4.3479, 9.3054 Å; angles 90.00, 90.00, 90.00 degrees
Space group Imm2 (No. 44)
Symmetry-distinct sites (fractional):
1 Na 0.0000 0.0000 0.0000 (multiplicity 2)
2 Li 0.0000 0.0000 0.3745 (multiplicity 2)
3 Pd 0.0000 0.0000 0.6714 (multiplicity 2)
4 O 0.0000 0.5000 0.0189 (multiplicity 2)
5 O 0.0000 0.5000 0.3166 (multiplicity 2)

[2]
Here is a relaxed NaScHgS3 crystal from the Open Quantum Materials Database. Energies are from PBE.

Cell lengths 3.8937, 14.1194, 10.2386 Å; angles 90.00, 90.00, 90.00 degrees
Space group Cmcm (No. 63)
Symmetry-distinct sites (fractional):
1 Na 0.0000 0.1858 0.2500 (multiplicity 4)
2 Sc 0.0000 0.5000 0.0000 (multiplicity 4)
3 Hg 0.0000 0.1091 0.7500 (multiplicity 4)
4 S 0.0000 0.1264 0.5182 (multiplicity 8)
5 S 0.0000 0.4575 0.7500 (multiplicity 4)

Properties
Offset from the most stable computed form = 0 meV/atom
Size of the total moment = 0.000 μB per atom

[3]
Here is a relaxed Tc2AsW crystal from the Open Quantum Materials Database. Energies are from PBE.

Cell lengths 6.2272, 6.2272, 6.2272 Å; angles 90.00, 90.00, 90.00 degrees
Space group F-43m (No. 216)
Symmetry-distinct sites (fractional):
1 Tc 0.0000 0.0000 0.0000 (multiplicity 4)
2 Tc 0.2500 0.2500 0.2500 (multiplicity 4)
3 As 0.0000 0.0000 0.5000 (multiplicity 4)
4 W 0.2500 0.2500 0.7500 (multiplicity 4)

Properties
Size of the total moment = 0.134 μB per atom

Calculated uncorrected energy (eV per atom), listed in the same order as above: -4.8269; -4.4450; -9.2429
Calculated volume (Å³ per atom), listed in the same order as above: 12.34; 23.45; 15.09